{"formula": "SrAgN", "functional": "PBE-GGA", "state": "optimized geometry", "lattice": [[4.828, 0.000, 0.000], [-2.413, 5.202, 0.000], [0.000, 0.000, 5.626]], "species": ["Sr", "Sr", "Ag", "Ag", "N", "N"], "fractional_positions": [[0.253, 0.229, 0.337], [0.671, 0.065, 0.837], [0.970, 0.663, 0.984], [0.954, 0.631, 0.484], [0.808, 0.339, 0.216], [0.116, 0.955, 0.716]], "n_ef_per_ev_cell": 0.00, "formation_energy_uncorrected_mev_per_atom": -161}

***

{"formula": "CaPuTlPt", "functional": "PBE-GGA", "state": "optimized geometry", "lattice": [[-4.538, -0.191, 2.513], [-0.094, -0.747, 5.136], [-1.381, 3.878, 3.162]], "species": ["Tl", "Ca", "Pt", "Pu"], "fractional_positions": [[0.250, 0.250, 0.250], [0.500, 0.500, 0.500], [0.750, 0.750, 0.750], [0.000, 0.000, 0.000]], "n_ef_per_ev_cell": 11.06, "formation_enthalpy_0k_mev_per_atom": -392}

***

{"formula": "ErAl2Cu9", "functional": "PBE-GGA", "state": "optimized geometry", "lattice": [[4.931, 0.000, 0.000], [2.465, 4.270, 0.000], [2.465, 1.423, 7.952]], "species": ["Er", "Al", "Al", "Cu", "Cu", "Cu", "Cu", "Cu", "Cu", "Cu", "Cu", "Cu"], "fractional_positions": [[0.000, 0.000, 0.000], [0.855, 0.855, 0.434], [0.145, 0.145, 0.566], [0.666, 0.666, 0.002], [0.334, 0.334, 0.998], [0.500, 0.500, 0.500], [0.410, 0.410, 0.260], [0.919, 0.410, 0.260], [0.410, 0.919, 0.260], [0.590, 0.590, 0.740], [0.590, 0.081, 0.740], [0.081, 0.590, 0.740]], "n_ef_per_ev_cell": 5.08, "formation_enthalpy_0k_mev_per_atom": -167}

***

{"formula": "Tm4PtSeS2", "functional": "PBE-GGA", "state": "optimized geometry", "lattice": [[-2.186, -0.786, 3.094], [3.287, -6.065, 0.781], [5.466, 0.965, 4.106]], "species": ["Tm", "Tm", "Tm", "Tm", "Pt", "Se", "S", "S"], "fractional_positions": [[0.000, 0.749, 0.760], [0.000, 0.251, 0.240], [0.500, 0.759, 0.239], [0.500, 0.241, 0.761], [0.500, 0.500, 0.000], [0.000, 0.500, 0.500], [0.000, 0.000, 0.000], [0.500, 0.000, 0.500]], "n_ef_per_ev_cell": 4.24, "formation_energy_uncorrected_mev_per_atom": -1675}

***

{"formula": "NdDy2Pb", "functional": "PBE-GGA", "state": "optimized geometry", "lattice": [[3.622, 0.000, 0.000], [1.811, 3.137, 0.000], [1.811, 1.046, 11.090]], "species": ["Nd", "Dy", "Dy", "Pb"], "fractional_positions": [[0.500, 0.500, 0.500], [0.079, 0.079, 0.764], [0.255, 0.255, 0.235], [0.667, 0.667, 0.000]], "n_ef_per_ev_cell": 3.41, "formation_enthalpy_0k_mev_per_atom": -149}

***

{"formula": "Pm3Zn9Ni2", "functional": "PBE-GGA", "state": "optimized geometry", "lattice": [[4.162, 0.000, 1.118], [1.513, 7.557, 2.675], [0.043, 0.421, 8.147]], "species": ["Pm", "Pm", "Pm", "Zn", "Zn", "Zn", "Zn", "Zn", "Zn", "Zn", "Zn", "Zn", "Ni", "Ni"], "fractional_positions": [[0.000, 0.000, 0.000], [0.692, 0.308, 0.308], [0.308, 0.692, 0.692], [0.000, 0.500, 0.500], [0.663, 0.981, 0.693], [0.337, 0.019, 0.307], [0.663, 0.693, 0.981], [0.337, 0.307, 0.019], [0.877, 0.840, 0.406], [0.123, 0.160, 0.594], [0.877, 0.406, 0.840], [0.123, 0.594, 0.160], [0.500, 0.300, 0.700], [0.500, 0.700, 0.300]], "n_ef_per_ev_cell": 8.12, "formation_enthalpy_0k_mev_per_atom": -326}

***

{"formula": "Sr2Sb2Te", "functional": "PBE-GGA", "state": "optimized geometry", "lattice": [[8.669, 0.000, 0.000], [0.000, 8.669, 0.000], [0.000, 0.000, 4.606]], "species": ["Sb", "Sb", "Sb", "Sb", "Te", "Te", "Sr", "Sr", "Sr", "Sr"], "fractional_positions": [[0.386, 0.886, 0.000], [0.886, 0.614, 0.000], [0.614, 0.114, 0.000], [0.114, 0.386, 0.000], [0.000, 0.000, 0.000], [0.500, 0.500, 0.000], [0.184, 0.684, 0.500], [0.684, 0.816, 0.500], [0.816, 0.316, 0.500], [0.316, 0.184, 0.500]], "n_ef_per_ev_cell": 2.34, "formation_energy_uncorrected_mev_per_atom": -827}

***

{"formula": "Y2PbI", "functional": "PBE-GGA", "state": "optimized geometry", "lattice": [[-2.717, -4.531, -1.450], [-0.961, -3.921, 3.703], [-5.092, -0.846, 1.835]], "species": ["Pb", "I", "Y", "Y"], "fractional_positions": [[0.500, 0.500, 0.500], [0.000, 0.000, 0.000], [0.250, 0.250, 0.250], [0.750, 0.750, 0.750]], "n_ef_per_ev_cell": 4.41, "formation_energy_uncorrected_mev_per_atom": -529}

***

{"formula": "CaLa4Tm2", "functional": "PBE-GGA", "state": "optimized geometry", "lattice": [[-1.603, 1.300, 3.044], [-3.197, -1.416, 1.143], [8.895, -14.347, 13.032]], "species": ["Ca", "Tm", "Tm", "La", "La", "La", "La"], "fractional_positions": [[0.000, 0.000, 0.000], [0.571, 0.571, 0.288], [0.429, 0.429, 0.712], [0.857, 0.857, 0.428], [0.718, 0.718, 0.845], [0.282, 0.282, 0.155], [0.143, 0.143, 0.572]], "n_ef_per_ev_cell": 10.13, "formation_enthalpy_0k_mev_per_atom": 29}

***

{"formula": "AcLa3Pr3", "functional": "PBE-GGA", "state": "optimized geometry", "lattice": [[-2.211, -1.684, 2.669], [-3.568, -9.079, -8.686], [10.518, -1.917, 7.504]], "species": ["Ac", "Ac", "La", "La", "La", "La", "La", "La", "Pr", "Pr", "Pr", "Pr", "Pr", "Pr"], "fractional_positions": [[0.250, 0.667, 0.333], [0.750, 0.333, 0.667], [0.750, 0.612, 0.521], [0.750, 0.909, 0.388], [0.250, 0.521, 0.909], [0.750, 0.479, 0.091], [0.250, 0.091, 0.612], [0.250, 0.388, 0.479], [0.750, 0.907, 0.690], [0.750, 0.783, 0.093], [0.250, 0.690, 0.783], [0.750, 0.310, 0.217], [0.250, 0.217, 0.907], [0.250, 0.093, 0.310]], "n_ef_per_ev_cell": 21.58, "formation_enthalpy_0k_mev_per_atom": 301}

***

{"formula": "TbErCdCu", "functional": "PBE-GGA", "state": "optimized geometry", "lattice": [[-1.445, -3.074, 0.835], [3.090, -1.130, 1.189], [-1.696, 2.687, 6.957]], "species": ["Tb", "Er", "Cd", "Cu"], "fractional_positions": [[0.000, 0.000, 0.829], [0.000, 0.000, 0.387], [0.500, 0.500, 0.112], [0.500, 0.500, 0.600]], "n_ef_per_ev_cell": 3.67, "formation_enthalpy_0k_mev_per_atom": -278}

***

{"formula": "Ti2Be2NbCo5", "functional": "PBE-GGA", "state": "optimized geometry", "lattice": [[-1.128, -0.802, -2.880], [7.991, -1.162, -2.805], [-0.343, -8.193, 2.415]], "species": ["Ti", "Ti", "Ti", "Ti", "Be", "Be", "Be", "Be", "Nb", "Nb", "Co", "Co", "Co", "Co", "Co", "Co", "Co", "Co", "Co", "Co"], "fractional_positions": [[0.000, 0.673, 0.173], [0.000, 0.327, 0.827], [0.000, 0.173, 0.327], [0.000, 0.827, 0.673], [0.000, 0.120, 0.620], [0.000, 0.880, 0.380], [0.000, 0.620, 0.880], [0.000, 0.380, 0.120], [0.000, 0.000, 0.000], [0.000, 0.500, 0.500], [0.500, 0.215, 0.071], [0.500, 0.785, 0.929], [0.500, 0.071, 0.785], [0.500, 0.715, 0.429], [0.500, 0.929, 0.215], [0.500, 0.285, 0.571], [0.500, 0.571, 0.715], [0.500, 0.429, 0.285], [0.500, 0.500, 0.000], [0.500, 0.000, 0.500]], "n_ef_per_ev_cell": 9.14, "formation_enthalpy_0k_mev_per_atom": -351}

***

{"formula": "ZnCr2Cu", "functional": "PBE-GGA", "state": "optimized geometry", "lattice": [[-0.494, 3.799, 2.558], [-3.999, 2.035, -1.040], [1.039, -4.341, 1.139]], "species": ["Cr", "Cr", "Cu", "Zn"], "fractional_positions": [[0.000, 0.000, 0.000], [0.250, 0.750, 0.500], [0.500, 0.500, 0.000], [0.750, 0.250, 0.500]], "n_ef_per_ev_cell": 2.32, "formation_enthalpy_0k_mev_per_atom": 190}

***

{"formula": "LiRuS2", "functional": "PBE-GGA", "state": "optimized geometry", "lattice": [[-4.548, 0.418, -3.163], [-0.845, -5.469, 0.493], [-5.542, -1.707, 2.865]], "species": ["Ru", "Ru", "S", "S", "S", "S", "Li", "Li"], "fractional_positions": [[0.000, 0.000, 0.000], [0.750, 0.250, 0.500], [0.659, 0.125, 0.250], [0.091, 0.625, 0.250], [0.375, 0.341, 0.750], [0.875, 0.909, 0.750], [0.500, 0.500, 0.000], [0.250, 0.750, 0.500]], "n_ef_per_ev_cell": 4.06, "formation_energy_uncorrected_mev_per_atom": -537}

***

{"formula": "SrNiCl2", "functional": "PBE-GGA", "state": "optimized geometry", "lattice": [[-3.502, -1.762, -4.066], [-2.369, -4.811, -1.774], [-3.420, 1.006, 3.027]], "species": ["Sr", "Cl", "Cl", "Ni"], "fractional_positions": [[0.256, 0.256, 0.176], [0.976, 0.976, 0.255], [0.723, 0.723, 0.688], [0.545, 0.545, 0.381]], "formation_energy_uncorrected_mev_per_atom": -1155}

***

{"formula": "CuIr", "functional": "PBE-GGA", "state": "optimized geometry", "lattice": [[6.940, 0.000, 0.000], [-3.470, 6.010, 0.000], [0.000, 0.000, 4.214]], "species": ["Cu", "Cu", "Cu", "Cu", "Cu", "Cu", "Ir", "Ir", "Ir", "Ir", "Ir", "Ir"], "fractional_positions": [[0.816, 0.050, 0.250], [0.766, 0.816, 0.750], [0.950, 0.766, 0.250], [0.184, 0.950, 0.750], [0.234, 0.184, 0.250], [0.050, 0.234, 0.750], [0.095, 0.490, 0.250], [0.605, 0.095, 0.750], [0.510, 0.605, 0.250], [0.905, 0.510, 0.750], [0.395, 0.905, 0.250], [0.490, 0.395, 0.750]], "n_ef_per_ev_cell": 14.59, "formation_enthalpy_0k_mev_per_atom": 335}

***

{"formula": "Pm2DyHoTm", "functional": "PBE-GGA", "state": "optimized geometry", "lattice": [[-6.594, -2.613, 1.520], [2.138, -0.686, 8.097], [-2.959, 5.664, -3.098]], "species": ["Pm", "Pm", "Pm", "Pm", "Dy", "Dy", "Ho", "Ho", "Tm", "Tm"], "fractional_positions": [[0.500, 0.306, 0.000], [0.000, 0.694, 0.000], [0.500, 0.694, 0.000], [0.000, 0.306, 0.000], [0.250, 0.727, 0.453], [0.750, 0.273, 0.547], [0.750, 0.727, 0.454], [0.250, 0.273, 0.546], [0.250, 0.999, 0.998], [0.750, 0.001, 0.002]], "n_ef_per_ev_cell": 14.22, "formation_enthalpy_0k_mev_per_atom": 415}

***

{"formula": "Tb5SmHg6", "functional": "PBE-GGA", "state": "optimized geometry", "lattice": [[5.173, 0.002, -1.071], [-0.003, 7.524, -0.001], [-0.949, 0.000, 8.310]], "species": ["Tb", "Tb", "Tb", "Tb", "Tb", "Hg", "Hg", "Hg", "Hg", "Hg", "Hg", "Sm"], "fractional_positions": [[0.665, 0.500, 0.331], [0.333, 0.000, 0.666], [0.000, 0.500, 0.000], [0.667, 0.000, 0.334], [0.335, 0.500, 0.669], [0.832, 0.747, 0.663], [0.832, 0.253, 0.663], [0.500, 0.254, 0.000], [0.500, 0.746, 0.000], [0.168, 0.747, 0.337], [0.168, 0.253, 0.337], [0.000, 0.000, 0.000]], "n_ef_per_ev_cell": 14.10, "formation_enthalpy_0k_mev_per_atom": -478}

***

{"formula": "TiOs3Cl", "functional": "PBE-GGA", "state": "optimized geometry", "lattice": [[4.679, 0.000, 0.000], [0.000, 4.679, 0.000], [0.000, 0.000, 4.679]], "species": ["Cl", "Os", "Os", "Os", "Ti"], "fractional_positions": [[0.500, 0.500, 0.500], [0.000, 0.500, 0.000], [0.000, 0.000, 0.500], [0.500, 0.000, 0.000], [0.000, 0.000, 0.000]], "n_ef_per_ev_cell": 6.46, "formation_energy_uncorrected_mev_per_atom": 2267}

***

{"formula": "Ti8VGa5", "functional": "PBE-GGA", "state": "optimized geometry", "lattice": [[-6.013, -2.318, -1.931], [1.002, -1.489, 6.484], [0.199, 6.674, -0.826]], "species": ["Ti", "Ti", "Ti", "Ti", "Ti", "Ti", "Ti", "Ti", "V", "Ga", "Ga", "Ga", "Ga", "Ga"], "fractional_positions": [[0.131, 0.746, 0.016], [0.984, 0.115, 0.730], [0.779, 0.247, 0.383], [0.617, 0.396, 0.864], [0.468, 0.604, 0.221], [0.614, 0.885, 0.869], [0.270, 0.254, 0.386], [0.136, 0.753, 0.532], [0.250, 0.500, 0.750], [0.992, 0.370, 0.124], [0.876, 0.868, 0.246], [0.754, 0.630, 0.622], [0.500, 0.000, 0.500], [0.378, 0.132, 0.008]], "n_ef_per_ev_cell": 14.49, "formation_enthalpy_0k_mev_per_atom": -197}

***

{"formula": "Ac3ZnGe3", "functional": "PBE-GGA", "state": "optimized geometry", "lattice": [[-4.422, 4.276, 1.823], [-3.807, -0.351, -8.411], [-2.866, -5.782, 6.613]], "species": ["Ac", "Ac", "Ac", "Ac", "Ac", "Ac", "Zn", "Zn", "Ge", "Ge", "Ge", "Ge", "Ge", "Ge"], "fractional_positions": [[0.750, 0.705, 0.644], [0.750, 0.356, 0.061], [0.750, 0.939, 0.295], [0.250, 0.295, 0.356], [0.250, 0.644, 0.939], [0.250, 0.061, 0.705], [0.250, 0.667, 0.333], [0.750, 0.333, 0.667], [0.250, 0.683, 0.616], [0.250, 0.384, 0.067], [0.250, 0.933, 0.317], [0.750, 0.317, 0.384], [0.750, 0.616, 0.933], [0.750, 0.067, 0.683]], "n_ef_per_ev_cell": 12.11, "formation_enthalpy_0k_mev_per_atom": -497}

***

{"formula": "Ta4FeRh", "functional": "PBE-GGA", "state": "optimized geometry", "lattice": [[0.443, 3.564, 3.938], [-3.985, 3.402, 0.977], [-2.934, -0.531, 4.417]], "species": ["Ta", "Ta", "Ta", "Ta", "Fe", "Rh"], "fractional_positions": [[0.874, 0.375, 0.375], [0.375, 0.375, 0.874], [0.375, 0.874, 0.375], [0.375, 0.375, 0.375], [0.750, 0.750, 0.750], [0.000, 0.000, 0.000]], "n_ef_per_ev_cell": 7.16, "formation_enthalpy_0k_mev_per_atom": 477}

***

{"formula": "Rh2PbF11", "functional": "PBE-GGA", "state": "optimized geometry", "lattice": [[8.065, 0.000, 4.204], [3.617, 7.001, 2.900], [0.772, 0.235, 8.358]], "species": ["Rh", "Rh", "Rh", "Rh", "Pb", "Pb", "F", "F", "F", "F", "F", "F", "F", "F", "F", "F", "F", "F", "F", "F", "F", "F", "F", "F", "F", "F", "F", "F"], "fractional_positions": [[0.656, 0.656, 0.344], [0.344, 0.344, 0.656], [0.844, 0.156, 0.844], [0.156, 0.844, 0.156], [0.750, 0.750, 0.750], [0.250, 0.250, 0.250], [0.637, 0.679, 0.574], [0.363, 0.321, 0.426], [0.109, 0.574, 0.679], [0.863, 0.926, 0.821], [0.891, 0.426, 0.321], [0.137, 0.074, 0.179], [0.391, 0.821, 0.926], [0.609, 0.179, 0.074], [0.500, 0.500, 0.500], [0.000, 0.000, 0.000], [0.799, 0.800, 0.200], [0.201, 0.200, 0.800], [0.701, 0.300, 0.700], [0.299, 0.700, 0.300], [0.425, 0.891, 0.363], [0.575, 0.109, 0.637], [0.322, 0.363, 0.891], [0.075, 0.137, 0.609], [0.678, 0.637, 0.109], [0.925, 0.863, 0.391], [0.178, 0.609, 0.137], [0.822, 0.391, 0.863]], "n_ef_per_ev_cell": 22.47, "formation_energy_uncorrected_mev_per_atom": -1627}